Record 1
This record from Alexandria describes an optimized crystal structure of LiMgAuO2. The functional is GGA-PBE.

Summary:
The value obtained for the energy relative to the elements, uncorrected is -1.52 eV/atom. The value obtained for the total magnetic moment is 0.0 Bohr magnetons per cell.

Cell: 5.576 5.779 5.841 Å, 90.00 110.14 90.00°
Space group P2/c (No. 13)
Unique sites:
Li  0.000  0.235  0.250
Mg  0.500  0.492  0.750
Au  0.500  0.000  0.000
O  0.322  0.322  0.437



Record 2
This record from Alexandria describes an optimized crystal structure of NiHgSb2. The functional is GGA-PBE.

Summary:
The value obtained for the energy relative to the elements, uncorrected is 0.38 eV/atom. The value obtained for the total magnetic moment is 0.0 Bohr magnetons per cell.

Cell: 4.628 4.628 4.090 Å, 90.00 90.00 90.00°
Space group P4/mmm (No. 123)
Unique sites:
Ni  0.000  0.000  0.000
Hg  0.500  0.500  0.000
Sb  0.000  0.500  0.500



- What is the energy relative to the elements, uncorrected in the first record?
  -1.52 eV/atom